# GGA-PBEsol Li2Y2Br, optimized geometry
# Calculated total energy in eV per atom: -4.06
# Raw formation energy in eV/atom: -0.1680
data_Li2Y2Br
_chemical_formula_sum 'Li4 Y4 Br2'
_cell_length_a 3.5212
_cell_length_b 3.5212
_cell_length_c 18.3045
_cell_angle_alpha 90.00
_cell_angle_beta 90.00
_cell_angle_gamma 90.00
_space_group_name_H-M_alt 'P 1'
_space_group_IT_number 1
loop_
_space_group_symop_operation_xyz
'x,y,z'
loop_
_atom_site_label
_atom_site_type_symbol
_atom_site_fract_x
_atom_site_fract_y
_atom_site_fract_z
_atom_site_occupancy
Li1 Li 0.0000 0.5000 0.2500 1
Li2 Li 0.0000 0.5000 0.7500 1
Li3 Li 0.5000 0.0000 0.2500 1
Li4 Li 0.5000 0.0000 0.7500 1
Y1 Y 0.0000 0.0000 0.1007 1
Y2 Y 0.0000 0.0000 0.8993 1
Y3 Y 0.5000 0.5000 0.3993 1
Y4 Y 0.5000 0.5000 0.6007 1
Br1 Br 0.0000 0.0000 0.5000 1
Br2 Br 0.5000 0.5000 0.0000 1